Entry from Alexandria: Ba2Ag5Sb3 after structural relaxation (PBE).

```
Ba2Ag5Sb3
1.0
-5.813 6.689 3.509
5.813 -6.689 3.509
5.813 6.689 -3.509
Ba Ag Sb
4 10 6
direct
0.122 0.248 0.371 Ba
0.378 0.748 0.126 Ba
0.622 0.252 0.874 Ba
0.878 0.752 0.629 Ba
0.005 0.750 0.255 Ag
0.124 0.873 0.997 Ag
0.250 0.750 0.500 Ag
0.376 0.373 0.749 Ag
0.495 0.750 0.745 Ag
0.505 0.250 0.255 Ag
0.624 0.627 0.251 Ag
0.750 0.250 0.500 Ag
0.876 0.127 0.003 Ag
0.995 0.250 0.745 Ag
0.131 0.635 0.766 Sb
0.250 0.250 0.000 Sb
0.369 0.135 0.504 Sb
0.631 0.865 0.496 Sb
0.750 0.750 0.000 Sb
0.869 0.365 0.234 Sb
```

M_tot in μB per atom: 0.000

***

Entry from Alexandria: BaPm4S5 after structural relaxation (PBE).

```
BaPm4S5
1.0
6.881 -2.044 0.000
6.881 2.044 0.000
-5.032 0.000 8.813
Ba Pm S
1 4 5
direct
0.000 0.000 0.000 Ba
0.199 0.199 0.786 Pm
0.405 0.405 0.599 Pm
0.595 0.595 0.401 Pm
0.801 0.801 0.214 Pm
0.000 0.000 0.500 S
0.204 0.204 0.316 S
0.386 0.386 0.107 S
0.614 0.614 0.893 S
0.796 0.796 0.684 S
```

M_tot in μB per atom: 0.000

***

Entry from Alexandria: Ce3Si2S8Br after structural relaxation (PBE).

```
Ce3Si2S8Br
1.0
7.906 -3.886 0.000
7.906 3.886 0.000
-1.269 0.000 10.952
Ce Si S Br
6 4 16 2
direct
0.105 0.895 0.750 Ce
0.181 0.426 0.314 Ce
0.426 0.181 0.814 Ce
0.574 0.819 0.186 Ce
0.819 0.574 0.686 Ce
0.895 0.105 0.250 Ce
0.127 0.195 0.032 Si
0.195 0.127 0.532 Si
0.805 0.873 0.468 Si
0.873 0.805 0.968 Si
0.055 0.243 0.843 S
0.088 0.779 0.446 S
0.102 0.606 0.853 S
0.213 0.355 0.584 S
0.221 0.912 0.054 S
0.243 0.055 0.343 S
0.355 0.213 0.084 S
0.394 0.898 0.647 S
0.606 0.102 0.353 S
0.645 0.787 0.916 S
0.757 0.945 0.657 S
0.779 0.088 0.946 S
0.787 0.645 0.416 S
0.898 0.394 0.147 S
0.912 0.221 0.554 S
0.945 0.757 0.157 S
0.497 0.503 0.250 Br
0.503 0.497 0.750 Br
```

M_tot in μB per atom: 0.214

***

Entry from Alexandria: PmGd2Zr after structural relaxation (PBE).

```
PmGd2Zr
1.0
4.907 0.000 0.000
0.000 4.907 0.000
0.000 0.000 4.934
Pm Gd Zr
1 2 1
direct
0.000 0.000 0.000 Pm
0.000 0.500 0.500 Gd
0.500 0.000 0.500 Gd
0.500 0.500 0.000 Zr
```

Offset from the most stable computed form in meV per atom: 34.7
Formation enthalpy at 0 K in eV/atom: 0.113
M_tot in μB per atom: 3.525

***

Entry from Alexandria: NaNpAgO5 after structural relaxation (PBE).

```
NaNpAgO5
1.0
3.355 -4.916 0.000
3.355 4.916 0.000
-2.838 0.000 7.622
Na Np Ag O
2 2 2 10
direct
0.193 0.807 0.750 Na
0.807 0.193 0.250 Na
0.500 0.500 0.000 Np
0.500 0.500 0.500 Np
0.157 0.843 0.250 Ag
0.843 0.157 0.750 Ag
0.184 0.190 0.415 O
0.190 0.184 0.915 O
0.295 0.684 0.446 O
0.316 0.705 0.054 O
0.434 0.566 0.750 O
0.566 0.434 0.250 O
0.684 0.295 0.946 O
0.705 0.316 0.554 O
0.810 0.816 0.085 O
0.816 0.810 0.585 O
```

M_tot in μB per atom: 0.000

***

Entry from Alexandria: KGaRe3 after structural relaxation (PBE).

```
KGaRe3
1.0
4.709 0.000 0.000
0.000 4.709 0.000
0.000 0.000 4.709
K Ga Re
1 1 3
direct
0.000 0.000 0.000 K
0.500 0.500 0.500 Ga
0.000 0.500 0.500 Re
0.500 0.000 0.500 Re
0.500 0.500 0.000 Re
```

Offset from the most stable computed form in meV per atom: 0.0
Formation enthalpy at 0 K in eV/atom: 2.277
M_tot in μB per atom: 0.000

***

Entry from Alexandria: LiSi2P after structural relaxation (PBE).

```
LiSi2P
1.0
2.686 0.000 0.000
0.000 3.767 0.000
0.000 0.000 6.956
Li Si P
1 2 1
direct
0.000 0.000 0.000 Li
0.000 0.000 0.386 Si
0.500 0.500 0.538 Si
0.500 0.500 0.859 P
```

M_tot in μB per atom: 0.000

***

Entry from Alexandria: Zr6CoN2 after structural relaxation (PBE).

```
Zr6CoN2
1.0
5.450 -2.217 0.000
5.450 2.217 0.000
-3.452 0.000 6.722
Zr Co N
6 1 2
direct
0.021 0.021 0.203 Zr
0.310 0.310 0.918 Zr
0.342 0.342 0.428 Zr
0.658 0.658 0.572 Zr
0.690 0.690 0.082 Zr
0.979 0.979 0.797 Zr
0.000 0.000 0.500 Co
0.183 0.183 0.088 N
0.817 0.817 0.912 N
```

M_tot in μB per atom: 0.000

***

Entry from Alexandria: TbCePa4 after structural relaxation (PBE).

```
TbCePa4
1.0
0.000 4.319 4.319
4.319 0.000 4.319
4.319 4.319 0.000
Tb Ce Pa
1 1 4
direct
0.000 0.000 0.000 Tb
0.250 0.250 0.250 Ce
0.124 0.625 0.625 Pa
0.625 0.124 0.625 Pa
0.625 0.625 0.124 Pa
0.625 0.625 0.625 Pa
```

Formation enthalpy at 0 K in eV/atom: 0.204
M_tot in μB per atom: 0.000

***

Entry from Alexandria: KMnW2 after structural relaxation (PBE).

```
KMnW2
1.0
3.831 0.000 0.000
0.000 3.831 0.000
0.000 0.000 5.168
K Mn W
1 1 2
direct
0.000 0.000 0.000 K
0.500 0.500 0.000 Mn
0.000 0.500 0.500 W
0.500 0.000 0.500 W
```

Offset from the most stable computed form in meV per atom: 855.2
Formation enthalpy at 0 K in eV/atom: 1.686
M_tot in μB per atom: 0.909

***

Entry from Alexandria: CdPbAu2 after structural relaxation (PBE).

```
CdPbAu2
1.0
9.710 0.000 0.000
0.000 3.694 0.000
-1.354 0.000 5.034
Cd Pb Au
2 2 4
direct
0.000 0.000 0.000 Cd
0.500 0.500 0.000 Cd
0.225 0.000 0.666 Pb
0.725 0.500 0.666 Pb
0.240 0.500 0.177 Au
0.477 0.000 0.426 Au
0.740 0.000 0.177 Au
0.977 0.500 0.426 Au
```

Formation enthalpy at 0 K in eV/atom: -0.048
M_tot in μB per atom: 0.000

***

Entry from Alexandria: TaNiPd after structural relaxation (PBE).

```
TaNiPd
1.0
2.836 0.000 0.000
0.000 13.946 0.000
0.000 0.000 4.407
Ta Ni Pd
4 4 4
direct
0.000 0.103 0.250 Ta
0.000 0.897 0.750 Ta
0.500 0.397 0.750 Ta
0.500 0.603 0.250 Ta
0.000 0.448 0.250 Ni
0.000 0.552 0.750 Ni
0.500 0.052 0.750 Ni
0.500 0.948 0.250 Ni
0.000 0.218 0.750 Pd
0.000 0.782 0.250 Pd
0.500 0.282 0.250 Pd
0.500 0.718 0.750 Pd
```

Offset from the most stable computed form in meV per atom: 0.0
Formation enthalpy at 0 K in eV/atom: -0.369
M_tot in μB per atom: 0.000

***

Entry from Alexandria: SrBPtRh2 after structural relaxation (PBE).

```
SrBPtRh2
1.0
4.324 0.000 0.000
0.000 4.324 0.000
0.000 0.000 4.290
Sr B Pt Rh
1 1 1 2
direct
0.000 0.000 0.000 Sr
0.500 0.500 0.500 B
0.500 0.500 0.000 Pt
0.000 0.500 0.500 Rh
0.500 0.000 0.500 Rh
```

Formation enthalpy at 0 K in eV/atom: -0.426
M_tot in μB per atom: 0.000

***

Entry from Alexandria: Ac6In3Hg after structural relaxation (PBE).

```
Ac6In3Hg
1.0
8.644 0.000 0.000
0.000 8.870 0.000
-8.633 0.000 10.309
Ac In Hg
12 6 2
direct
0.012 0.089 0.251 Ac
0.012 0.411 0.751 Ac
0.226 0.663 0.064 Ac
0.226 0.837 0.564 Ac
0.411 0.165 0.065 Ac
0.411 0.335 0.565 Ac
0.589 0.665 0.435 Ac
0.589 0.835 0.935 Ac
0.774 0.163 0.436 Ac
0.774 0.337 0.936 Ac
0.988 0.589 0.249 Ac
0.988 0.911 0.749 Ac
0.000 0.000 0.000 In
0.000 0.500 0.500 In
0.303 0.152 0.747 In
0.303 0.348 0.247 In
0.697 0.652 0.753 In
0.697 0.848 0.253 In
0.500 0.000 0.500 Hg
0.500 0.500 0.000 Hg
```

Offset from the most stable computed form in meV per atom: 99.7
Formation enthalpy at 0 K in eV/atom: -0.217
M_tot in μB per atom: 0.000

***

Entry from Alexandria: Zr2ScAl2Pd5 after structural relaxation (PBE).

```
Zr2ScAl2Pd5
1.0
9.779 0.000 0.000
0.000 9.779 0.000
0.000 0.000 3.633
Zr Sc Al Pd
4 2 4 10
direct
0.175 0.325 0.000 Zr
0.325 0.825 0.000 Zr
0.675 0.175 0.000 Zr
0.825 0.675 0.000 Zr
0.000 0.000 0.000 Sc
0.500 0.500 0.000 Sc
0.125 0.625 0.000 Al
0.375 0.125 0.000 Al
0.625 0.875 0.000 Al
0.875 0.375 0.000 Al
0.000 0.500 0.500 Pd
0.058 0.793 0.500 Pd
0.207 0.058 0.500 Pd
0.293 0.558 0.500 Pd
0.442 0.293 0.500 Pd
0.500 0.000 0.500 Pd
0.558 0.707 0.500 Pd
0.707 0.442 0.500 Pd
0.793 0.942 0.500 Pd
0.942 0.207 0.500 Pd
```

Formation enthalpy at 0 K in eV/atom: -0.712
M_tot in μB per atom: 0.000

***

Entry from Alexandria: Mn2FeRu2 after structural relaxation (PBE).

```
Mn2FeRu2
1.0
7.072 0.000 0.000
0.000 7.072 0.000
0.000 0.000 2.652
Mn Fe Ru
4 2 4
direct
0.165 0.335 0.000 Mn
0.335 0.835 0.000 Mn
0.665 0.165 0.000 Mn
0.835 0.665 0.000 Mn
0.000 0.000 0.500 Fe
0.500 0.500 0.500 Fe
0.132 0.632 0.500 Ru
0.368 0.132 0.500 Ru
0.632 0.868 0.500 Ru
0.868 0.368 0.500 Ru
```

Offset from the most stable computed form in meV per atom: 129.0
Formation enthalpy at 0 K in eV/atom: 0.300
M_tot in μB per atom: 0.214

***

Entry from Alexandria: EuPdPb2 after structural relaxation (PBE).

```
EuPdPb2
1.0
4.670 0.000 0.000
0.000 4.670 0.000
0.000 0.000 4.701
Eu Pd Pb
1 1 2
direct
0.000 0.000 0.000 Eu
0.500 0.500 0.000 Pd
0.000 0.500 0.500 Pb
0.500 0.000 0.500 Pb
```

Offset from the most stable computed form in meV per atom: 0.0
Formation enthalpy at 0 K in eV/atom: -0.350
M_tot in μB per atom: 1.745

***

Entry from Alexandria: Na2ZrTiPt after structural relaxation (PBE).

```
Na2ZrTiPt
1.0
5.116 0.000 0.000
0.000 5.116 0.000
0.000 0.000 4.822
Na Zr Ti Pt
2 1 1 1
direct
0.000 0.500 0.000 Na
0.500 0.000 0.000 Na
0.000 0.000 0.500 Zr
0.500 0.500 0.500 Ti
0.500 0.500 0.000 Pt
```

Formation enthalpy at 0 K in eV/atom: 0.743
M_tot in μB per atom: 0.226

***

Entry from Alexandria: CaAg2Pb after structural relaxation (PBE).

```
CaAg2Pb
1.0
4.922 0.000 0.000
0.000 4.922 0.000
0.000 0.000 7.680
Ca Ag Pb
2 4 2
direct
0.000 0.000 0.000 Ca
0.500 0.500 0.500 Ca
0.000 0.000 0.500 Ag
0.000 0.500 0.250 Ag
0.500 0.000 0.750 Ag
0.500 0.500 0.000 Ag
0.000 0.500 0.750 Pb
0.500 0.000 0.250 Pb
```

Formation enthalpy at 0 K in eV/atom: -0.190
M_tot in μB per atom: 0.000

***

Entry from Alexandria: TbNd2DyBi4 after structural relaxation (PBE).

```
TbNd2DyBi4
1.0
7.871 0.000 0.000
0.000 4.551 0.000
-2.628 0.000 7.428
Tb Nd Dy Bi
1 2 1 4
direct
0.000 0.000 0.000 Tb
0.500 0.000 0.500 Nd
0.500 0.500 0.000 Nd
0.000 0.500 0.500 Dy
0.242 0.000 0.747 Bi
0.242 0.500 0.248 Bi
0.758 0.000 0.253 Bi
0.758 0.500 0.752 Bi
```

Formation enthalpy at 0 K in eV/atom: -0.907
M_tot in μB per atom: 0.000

***

no.,VASP energy (eV per atom),density of states at the Fermi level (states/eV/cell)
1,-3.48,7.2
2,-6.16,2.8
3,-5.96,48.0
4,-10.25,5.1
5,-6.98,5.4
6,-6.02,7.7
7,-4.48,0.6
8,-9.05,6.5
9,-7.89,15.2
10,-7.36,3.9
11,-2.84,2.7
12,-7.98,6.4
13,-6.25,4.9
14,-3.53,20.1
15,-6.40,21.3
16,-8.77,10.3
17,-6.07,10.1
18,-4.28,4.9
19,-3.04,2.6
20,-5.19,1.2